{
  "formula": "KTmMnO3",
  "functional": "GGA+U",
  "state": "relaxed",
  "cell": [[-1.3589, 0.3404, 3.2198], [-0.0226, -6.9996, -1.1842], [8.2625, -0.6279, 3.5534]],
  "species": ["K", "K", "Mn", "Mn", "O", "O", "O", "O", "O", "O", "Tm", "Tm"],
  "frac_coords": [[0.3224, 0.6448, 0.2500], [0.6776, 0.3552, 0.7500], [0.5856, 0.1711, 0.2500], [0.4144, 0.8289, 0.7500], [0.6028, 0.2056, 0.4670], [0.3972, 0.7944, 0.5330], [0.3972, 0.7944, 0.9670], [0.0136, 0.0271, 0.7500], [0.9864, 0.9729, 0.2500], [0.6028, 0.2056, 0.0330], [0.0000, 0.0000, 0.5000], [0.0000, 0.0000, 0.0000]],
  "final_energy_ev_per_atom": -6.940
}